Record 1
Here is an optimized crystal structure of BaGe6Pd4 from the Alexandria database. Energies are from PBE.

Lattice parameters (Å, degrees): 7.764 7.764 3.980 90.00 90.00 120.00
Positions (direct):
Ba: 0.000 0.000 0.000
Ge: 0.200 0.401 0.500
Ge: 0.200 0.800 0.500
Ge: 0.529 0.059 0.000
Ge: 0.529 0.471 0.000
Ge: 0.599 0.800 0.500
Ge: 0.941 0.471 0.000
Pd: 0.333 0.667 0.000
Pd: 0.415 0.208 0.500
Pd: 0.792 0.208 0.500
Pd: 0.792 0.585 0.500

Values from the calculation:
Magnetization ... 0.0 μB per cell



Record 2
Here is an optimized crystal structure of BaGePd2 from the Alexandria database. Energies are from PBE.

Lattice parameters (Å, degrees): 5.296 5.296 16.301 90.00 90.00 90.00
Positions (direct):
Ba: 0.000 0.000 0.000
Ba: 0.000 0.500 0.250
Ba: 0.500 0.000 0.750
Ba: 0.500 0.500 0.500
Ge: 0.000 0.000 0.500
Ge: 0.000 0.500 0.750
Ge: 0.500 0.000 0.250
Ge: 0.500 0.500 0.000
Pd: 0.001 0.250 0.625
Pd: 0.250 0.501 0.875
Pd: 0.250 0.999 0.375
Pd: 0.499 0.250 0.125
Pd: 0.501 0.750 0.125
Pd: 0.750 0.001 0.375
Pd: 0.750 0.499 0.875
Pd: 0.999 0.750 0.625

Values from the calculation:
Magnetization ... 0.0 μB per cell



Record 3
Here is an optimized crystal structure of Ba2GePd2 from the Alexandria database. Energies are from PBE.

Lattice parameters (Å, degrees): 7.582 7.582 4.700 90.00 90.00 90.00
Positions (direct):
Ba: 0.181 0.319 0.000
Ba: 0.319 0.819 0.000
Ba: 0.681 0.181 0.000
Ba: 0.819 0.681 0.000
Ge: 0.000 0.000 0.500
Ge: 0.500 0.500 0.500
Pd: 0.132 0.632 0.500
Pd: 0.368 0.132 0.500
Pd: 0.632 0.868 0.500
Pd: 0.868 0.368 0.500

Values from the calculation:
Magnetization ... 0.0 μB per cell



Record 4
Here is an optimized crystal structure of Ba2Ge5Pd from the Alexandria database. Energies are from PBE.

Lattice parameters (Å, degrees): 6.213 6.213 11.114 90.00 90.00 90.00
Positions (direct):
Ba: 0.000 0.500 0.000
Ba: 0.000 0.500 0.500
Ba: 0.500 0.000 0.000
Ba: 0.500 0.000 0.500
Ge: 0.000 0.000 0.092
Ge: 0.215 0.215 0.259
Ge: 0.215 0.785 0.259
Ge: 0.285 0.285 0.759
Ge: 0.285 0.715 0.759
Ge: 0.500 0.500 0.592
Ge: 0.715 0.285 0.759
Ge: 0.715 0.715 0.759
Ge: 0.785 0.215 0.259
Ge: 0.785 0.785 0.259
Pd: 0.000 0.000 0.722
Pd: 0.500 0.500 0.222

Values from the calculation:
Magnetization ... 0.0 μB per cell



Record 5
Here is an optimized crystal structure of Ba2Ge6Pd from the Alexandria database. Energies are from PBE.

Lattice parameters (Å, degrees): 6.645 6.645 5.710 90.00 90.00 120.00
Positions (direct):
Ba: 0.333 0.667 0.334
Ba: 0.667 0.333 0.666
Ge: 0.156 0.311 0.833
Ge: 0.156 0.844 0.833
Ge: 0.311 0.156 0.167
Ge: 0.689 0.844 0.833
Ge: 0.844 0.156 0.167
Ge: 0.844 0.689 0.167
Pd: 0.000 0.000 0.500

Values from the calculation:
Magnetization ... 0.0 μB per cell



Record 6
Here is an optimized crystal structure of Ba2GePd4 from the Alexandria database. Energies are from PBE.

Lattice parameters (Å, degrees): 6.752 6.437 6.103 65.09 59.85 55.07
Positions (direct):
Ba: 0.250 0.250 0.250
Ba: 0.750 0.750 0.750
Ge: 0.000 0.000 0.000
Pd: 0.263 0.737 0.263
Pd: 0.302 0.698 0.698
Pd: 0.698 0.302 0.302
Pd: 0.737 0.263 0.737

Values from the calculation:
Magnetization ... 0.0 μB per cell



Record 7
Here is an optimized crystal structure of Ba3Ge4Pd7 from the Alexandria database. Energies are from PBE.

Lattice parameters (Å, degrees): 8.781 8.781 11.165 127.65 127.65 27.94
Positions (direct):
Ba: 0.000 0.000 0.000
Ba: 0.309 0.309 0.311
Ba: 0.691 0.691 0.689
Ge: 0.102 0.102 0.388
Ge: 0.350 0.350 0.003
Ge: 0.650 0.650 0.997
Ge: 0.898 0.898 0.612
Pd: 0.000 0.000 0.500
Pd: 0.171 0.171 0.907
Pd: 0.306 0.306 0.602
Pd: 0.491 0.491 0.285
Pd: 0.509 0.509 0.715
Pd: 0.694 0.694 0.398
Pd: 0.829 0.829 0.093

Values from the calculation:
Magnetization ... 0.0 μB per cell



Record 8
Here is an optimized crystal structure of Ba3Ge2Pd4 from the Alexandria database. Energies are from PBE.

Lattice parameters (Å, degrees): 6.275 6.275 9.085 102.39 102.39 41.84
Positions (direct):
Ba: 0.000 0.000 0.000
Ba: 0.379 0.379 0.613
Ba: 0.621 0.621 0.387
Ge: 0.318 0.318 0.208
Ge: 0.682 0.682 0.792
Pd: 0.090 0.090 0.645
Pd: 0.264 0.264 0.915
Pd: 0.736 0.736 0.085
Pd: 0.910 0.910 0.355

Values from the calculation:
Magnetization ... 0.0 μB per cell



Asked for energy of formation across the records above, the calculation gives -407 -516 -423 -426 -436 -496 -572 -615 meV per atom in order.
Asked for calculated density across the records above, the calculation gives 8.0 6.1 6.9 5.8 6.2 6.9 7.7 7.0 g cm⁻³ in order.
Asked for calculated volume across the records above, the calculation gives 207.8 457.2 270.2 429.1 218.3 184.7 313.5 232.2 Å³ per cell in order.